Density functional theory data (PBE) for a relaxed structure of K2PaTe4Au.

Cell lengths 7.2901, 7.0998, 7.0998 Å; angles 74.72, 59.11, 59.11 degrees
Closest atoms and distances in Å follow each position.
Sites, in units of the cell vectors:
K  0.0000  0.5000  0.5000  8 Te 3.61-3.68, 2 K 3.65
K  0.5000  0.5000  0.5000  8 Te 3.61-3.68, 2 K 3.65
Pa  0.0000  0.0000  0.0000  4 Te 2.92
Te  0.0779  0.3647  0.0000  1 Au 2.83, 1 Pa 2.92
Te  0.9221  0.0000  0.6353  1 Au 2.83, 1 Pa 2.92
Te  0.5574  0.0000  0.3647  1 Au 2.83, 1 Pa 2.92
Te  0.4426  0.6353  0.0000  1 Au 2.83, 1 Pa 2.92
Au  0.5000  0.0000  0.0000  4 Te 2.83

The theoretical density comes out at 6238 kg/m³. The value obtained for the raw formation energy is -0.692 eV/atom.